# 1
Compound: NaZnH3O3
Source: the Alexandria database
Functional: GGA-PBE
Structure: optimized geometry

Cell and atoms, written as CIF:
```
data_NaZnH3O3
_symmetry_space_group_name_H-M 'P 42 b c'
_symmetry_Int_Tables_number 106
_cell_length_a 10.882
_cell_length_b 10.882
_cell_length_c 5.433
_cell_angle_alpha 90.00
_cell_angle_beta 90.00
_cell_angle_gamma 90.00
loop_
_symmetry_equiv_pos_as_xyz
'x,y,z'
'-y,x,z+1/2'
'-x,-y,z'
'y,-x,z+1/2'
'-x+1/2,y+1/2,z'
'y+1/2,x+1/2,z+1/2'
'x+1/2,-y+1/2,z'
'-y+1/2,-x+1/2,z+1/2'
loop_
_atom_site_label
_atom_site_type_symbol
_atom_site_fract_x
_atom_site_fract_y
_atom_site_fract_z
Na1 Na 0.092 0.122 0.000
Zn1 Zn 0.055 0.309 0.523
H1 H 0.018 0.643 0.942
H2 H 0.139 0.812 0.964
H3 H 0.140 0.678 0.278
O1 O 0.067 0.331 0.892
O2 O 0.098 0.135 0.455
O3 O 0.124 0.681 0.457
```

Total DFT energy (no corrections)   -302.07 eV/cell
V   10.1 Å³ per atom
Mass density   2.88 Mg/m³

=====

# 2
Compound: NaZnHO2
Source: the Alexandria database
Functional: GGA-PBE
Structure: optimized geometry

Cell and atoms, written as CIF:
```
data_NaZnHO2
_symmetry_space_group_name_H-M 'C m m e'
_symmetry_Int_Tables_number 67
_symmetry_space_group_name_Hall '-C 2a 2'
_cell_length_a 5.804
_cell_length_b 10.451
_cell_length_c 3.671
_cell_angle_alpha 90.00
_cell_angle_beta 90.00
_cell_angle_gamma 90.00
loop_
_atom_site_label
_atom_site_type_symbol
_atom_site_fract_x
_atom_site_fract_y
_atom_site_fract_z
Na1 Na 0.000 0.250 0.234
Zn1 Zn 0.250 0.000 0.500
H1 H 0.000 0.000 0.000
O1 O 0.000 0.091 0.781
```

Total DFT energy (no corrections)   -87.81 eV/cell
V   11.1 Å³ per atom
Mass density   3.62 Mg/m³

=====

| no. | total moment (μB/f.u.) |
| --- | --- |
| 1 | 0.0 |
| 2 | 0.0 |